(1)
La3Ga | PBEsol | relaxed

Values from the calculation:
The crystal system is cubic. For the formation energy, the calculation gives -0.289 eV/atom.

Unit cell a=4.835 b=4.835 c=4.835 alpha=90.00 beta=90.00 gamma=90.00
Atoms (fractional coordinates):
La1 0.500 0.500 0.000
La2 0.500 0.000 0.500
La3 0.000 0.500 0.500
Ga1 0.000 0.000 0.000



(2)
Li2LaGa2 | PBEsol | relaxed

Values from the calculation:
The crystal system is tetragonal. For the formation energy, the calculation gives -0.361 eV/atom.

Unit cell a=4.623 b=4.623 c=5.649 alpha=114.15 beta=114.15 gamma=90.00
Atoms (fractional coordinates):
Li1 0.750 0.250 0.500
Li2 0.250 0.750 0.500
Ga1 0.629 0.629 0.258
Ga2 0.371 0.371 0.742
La1 0.000 0.000 0.000



(3)
Li2LaGaRe | PBEsol | relaxed

Values from the calculation:
The crystal system is tetragonal. For the formation energy, the calculation gives 1.028 eV/atom.

Unit cell a=4.460 b=4.460 c=5.736 alpha=90.00 beta=90.00 gamma=90.00
Last column: magnetic moment on the atom in μB.
Atoms (fractional coordinates):
Li1 0.000 0.500 0.000  -0.02
Li2 0.500 0.000 0.000  -0.02
Re1 0.500 0.500 0.500  2.03
Ga1 0.000 0.000 0.000  -0.13
La1 0.000 0.000 0.500  -0.07



(4)
La3MgGa | PBEsol | relaxed

Values from the calculation:
The crystal system is cubic. For the formation energy, the calculation gives 0.663 eV/atom.

Unit cell a=5.667 b=5.667 c=5.667 alpha=90.00 beta=90.00 gamma=90.00
Atoms (fractional coordinates):
Ga1 0.500 0.500 0.500
La1 0.000 0.000 0.500
La2 0.000 0.500 0.000
La3 0.500 0.000 0.000
Mg1 0.000 0.000 0.000



(5)
La3MnGa | PBEsol | relaxed

Values from the calculation:
The crystal system is cubic. For the formation energy, the calculation gives -0.022 eV/atom.

Unit cell a=5.101 b=5.101 c=5.101 alpha=90.00 beta=90.00 gamma=90.00
Atoms (fractional coordinates):
La1 0.000 0.500 0.000
La2 0.500 0.000 0.000
La3 0.000 0.000 0.500
Mn1 0.000 0.000 0.000
Ga1 0.500 0.500 0.500



(6)
LaGaS2N | PBEsol | relaxed

Values from the calculation:
Its uncorrected formation energy is 0.21 eV/atom. The crystal system is tetragonal.

Unit cell a=4.334 b=5.555 c=5.555 alpha=90.00 beta=90.00 gamma=90.00
Last column: magnetic moment on the atom in μB.
Atoms (fractional coordinates):
S1 0.000 0.000 0.500  0.43
S2 0.000 0.500 0.000  0.43
N1 0.500 0.000 0.000  0.58
La1 0.000 0.000 0.000  0.07
Ga1 0.500 0.500 0.500  0.03



(7)
LaGaTe2N | PBEsol | relaxed

Values from the calculation:
Its uncorrected formation energy is -0.24 eV/atom. The crystal system is tetragonal.

Unit cell a=3.785 b=5.562 c=5.562 alpha=90.00 beta=90.00 gamma=90.00
Atoms (fractional coordinates):
Te1 0.000 0.500 0.000
Te2 0.000 0.000 0.500
N1 0.500 0.000 0.000
Ga1 0.000 0.000 0.000
La1 0.500 0.500 0.500



(8)
LaGaTeN2 | PBEsol | relaxed

Values from the calculation:
Its uncorrected formation energy is 0.37 eV/atom. The crystal system is tetragonal.

Unit cell a=4.254 b=4.254 c=5.184 alpha=90.00 beta=90.00 gamma=90.00
Last column: magnetic moment on the atom in μB.
Atoms (fractional coordinates):
Te1 0.000 0.000 0.500  0.11
N1 0.000 0.500 0.000  0.66
N2 0.500 0.000 0.000  0.66
Ga1 0.000 0.000 0.000  -0.03
La1 0.500 0.500 0.500  -0.03



(9)
NaLa6Ga3S14 | PBEsol | relaxed

Values from the calculation:
Its uncorrected formation energy is -1.70 eV/atom. The crystal system is trigonal.

Unit cell a=6.013 b=10.117 c=10.117 alpha=120.00 beta=90.00 gamma=90.00
Atoms (fractional coordinates):
S1 0.545 0.092 0.853
S2 0.288 0.667 0.333
S3 0.545 0.761 0.908
S4 0.545 0.147 0.239
S5 0.999 0.848 0.758
S6 0.267 0.419 0.904
S7 0.999 0.910 0.152
S8 0.999 0.242 0.090
S9 0.267 0.096 0.515
S10 0.267 0.485 0.581
S11 0.786 0.333 0.667
S12 0.767 0.519 0.422
S13 0.767 0.904 0.481
S14 0.767 0.578 0.096
Na1 0.267 0.000 0.000
La1 0.994 0.625 0.861
La2 0.504 0.374 0.141
La3 0.994 0.139 0.765
La4 0.504 0.767 0.626
La5 0.504 0.859 0.233
La6 0.994 0.235 0.375
Ga1 0.917 0.667 0.333
Ga2 0.414 0.333 0.667
Ga3 0.771 0.000 0.000



(10)
NaLaGa4Se8 | PBEsol | relaxed

Values from the calculation:
Its uncorrected formation energy is -0.93 eV/atom. The crystal system is orthorhombic.

Unit cell a=12.270 b=12.270 c=12.294 alpha=105.29 beta=105.29 gamma=118.13
Atoms (fractional coordinates):
Na1 0.247 0.247 0.494
Na2 0.003 0.503 0.006
Na3 0.497 0.997 0.994
Na4 0.753 0.753 0.506
Se1 0.280 0.712 0.252
Se2 0.210 0.963 0.926
Se3 0.806 0.228 0.754
Se4 0.288 0.720 0.748
Se5 0.716 0.968 0.425
Se6 0.032 0.284 0.575
Se7 0.709 0.457 0.425
Se8 0.776 0.697 0.254
Se9 0.460 0.027 0.748
Se10 0.444 0.522 0.746
Se11 0.213 0.466 0.426
Se12 0.772 0.194 0.246
Se13 0.947 0.526 0.754
Se14 0.040 0.787 0.574
Se15 0.962 0.030 0.752
Se16 0.707 0.459 0.925
Se17 0.303 0.224 0.746
Se18 0.474 0.053 0.246
Se19 0.534 0.787 0.574
Se20 0.541 0.293 0.075
Se21 0.037 0.790 0.074
Se22 0.213 0.960 0.426
Se23 0.534 0.782 0.075
Se24 0.543 0.291 0.575
Se25 0.790 0.723 0.752
Se26 0.478 0.556 0.254
Se27 0.037 0.284 0.074
Se28 0.218 0.466 0.925
Se29 0.716 0.963 0.926
Se30 0.973 0.540 0.252
Se31 0.970 0.038 0.248
Se32 0.277 0.210 0.248
Ga1 0.652 0.013 0.749
Ga2 0.238 0.507 0.746
Ga3 0.986 0.847 0.249
Ga4 0.987 0.348 0.251
Ga5 0.757 0.988 0.246
Ga6 0.153 0.014 0.751
Ga7 0.264 0.903 0.251
Ga8 0.598 0.737 0.751
Ga9 0.012 0.243 0.754
Ga10 0.489 0.258 0.246
Ga11 0.508 0.239 0.746
Ga12 0.097 0.736 0.749
Ga13 0.493 0.762 0.254
Ga14 0.761 0.492 0.254
Ga15 0.742 0.511 0.754
Ga16 0.263 0.402 0.249
La1 0.250 0.750 0.500
La2 0.000 0.000 0.000
La3 0.500 0.500 0.000
La4 0.750 0.250 0.500



(11)
LaNb3Ga | PBEsol | relaxed

Values from the calculation:
The crystal system is cubic. For the formation energy, the calculation gives 0.886 eV/atom.

Unit cell a=4.877 b=4.877 c=4.877 alpha=90.00 beta=90.00 gamma=90.00
Atoms (fractional coordinates):
Nb1 0.500 0.000 0.000
Nb2 0.000 0.500 0.000
Nb3 0.000 0.000 0.500
Ga1 0.000 0.000 0.000
La1 0.500 0.500 0.500



(12)
La2NbGaRu | PBEsol | relaxed

Values from the calculation:
The crystal system is tetragonal. For the formation energy, the calculation gives 0.864 eV/atom.

Unit cell a=4.464 b=5.566 c=5.566 alpha=90.00 beta=90.00 gamma=90.00
Last column: magnetic moment on the atom in μB.
Atoms (fractional coordinates):
Ru1 0.500 0.000 0.000  -0.07
La1 0.000 0.500 0.000  0.10
La2 0.000 0.000 0.500  0.10
Nb1 0.500 0.500 0.500  2.07
Ga1 0.000 0.000 0.000  -0.01



(13)
La3NdGa4O12 | PBEsol | relaxed

Values from the calculation:
The value obtained for the energy relative to the lowest polymorph listed for this composition is 0.0 kJ per mole of atoms. Its uncorrected formation energy is -2.74 eV/atom. The crystal system is monoclinic.

Unit cell a=5.501 b=5.483 c=7.754 alpha=90.00 beta=90.00 gamma=90.12
Atoms (fractional coordinates):
O1 0.215 0.715 0.794
O2 0.988 0.926 0.500
O3 0.720 0.779 0.793
O4 0.720 0.779 0.207
O5 0.215 0.715 0.206
O6 0.284 0.216 0.709
O7 0.783 0.282 0.711
O8 0.487 0.575 0.500
O9 0.519 0.425 0.000
O10 0.014 0.084 0.000
O11 0.783 0.282 0.289
O12 0.284 0.216 0.291
Ga1 0.001 0.000 0.249
Ga2 0.498 0.500 0.751
Ga3 0.001 0.000 0.751
Ga4 0.498 0.500 0.249
La1 0.468 0.993 0.000
La2 0.030 0.493 0.500
La3 0.533 0.008 0.500
Nd1 0.959 0.510 0.000



(14)
La3NdGa4O12 | PBEsol | relaxed

Values from the calculation:
The value obtained for the energy relative to the lowest polymorph listed for this composition is 0.6 kJ per mole of atoms. Its uncorrected formation energy is -2.73 eV/atom. The crystal system is monoclinic.

Unit cell a=5.436 b=5.436 c=9.514 alpha=91.01 beta=106.08 gamma=118.99
Atoms (fractional coordinates):
O1 0.623 0.092 0.033
O2 0.627 0.591 0.534
O3 0.059 0.590 0.967
O4 0.192 0.938 0.747
O5 0.057 0.094 0.466
O6 0.559 0.559 0.000
O7 0.125 0.911 0.216
O8 0.696 0.411 0.286
O9 0.695 0.909 0.784
O10 0.192 0.445 0.253
O11 0.550 0.050 0.500
O12 0.125 0.410 0.714
La1 0.125 0.125 0.000
La2 0.625 0.374 0.749
La3 0.625 0.876 0.251
Ga1 0.375 0.250 0.376
Ga2 0.875 0.501 0.126
Ga3 0.874 0.999 0.624
Ga4 0.375 0.750 0.874
Nd1 0.124 0.624 0.500



(15)
LaNd3Ga4O12 | PBEsol | relaxed

Values from the calculation:
Its uncorrected formation energy is -2.72 eV/atom. The crystal system is monoclinic.

Unit cell a=5.435 b=5.519 c=7.720 alpha=90.00 beta=90.00 gamma=90.09
Atoms (fractional coordinates):
O1 0.416 0.985 0.500
O2 0.213 0.212 0.795
O3 0.075 0.481 0.500
O4 0.714 0.287 0.292
O5 0.915 0.521 0.000
O6 0.714 0.287 0.708
O7 0.288 0.711 0.203
O8 0.288 0.711 0.797
O9 0.792 0.793 0.293
O10 0.792 0.793 0.707
O11 0.213 0.212 0.205
O12 0.584 0.020 0.000
Nd1 0.011 0.954 0.000
Nd2 0.487 0.451 0.000
Nd3 0.988 0.047 0.500
Ga1 0.500 0.998 0.751
Ga2 0.000 0.501 0.751
Ga3 0.500 0.998 0.249
Ga4 0.000 0.501 0.249
La1 0.509 0.538 0.500



(16)
LaGa3Ni | PBEsol | relaxed

Values from the calculation:
The crystal system is cubic. For the formation energy, the calculation gives -0.454 eV/atom.

Unit cell a=4.573 b=4.573 c=4.573 alpha=90.00 beta=90.00 gamma=90.00
Atoms (fractional coordinates):
La1 0.500 0.500 0.500
Ni1 0.000 0.000 0.000
Ga1 0.000 0.000 0.500
Ga2 0.500 0.000 0.000
Ga3 0.000 0.500 0.000



(17)
La2Ga5Ni5 | PBEsol | relaxed

Values from the calculation:
The crystal system is orthorhombic. For the formation energy, the calculation gives -0.494 eV/atom.

Unit cell a=5.105 b=6.223 c=6.223 alpha=100.65 beta=90.00 gamma=90.00
Atoms (fractional coordinates):
Ga1 0.256 0.222 0.771
Ga2 0.744 0.771 0.222
Ga3 0.256 0.771 0.222
Ga4 0.000 0.086 0.086
Ga5 0.744 0.222 0.771
Ni1 0.000 0.067 0.461
Ni2 0.500 0.947 0.947
Ni3 0.500 0.909 0.548
Ni4 0.500 0.548 0.909
Ni5 0.000 0.461 0.067
La1 0.000 0.690 0.690
La2 0.500 0.305 0.305



(18)
LaGa2Ni3 | PBEsol | relaxed

Values from the calculation:
The crystal system is hexagonal. For the formation energy, the calculation gives -0.535 eV/atom.

Unit cell a=4.094 b=8.827 c=8.827 alpha=120.00 beta=90.00 gamma=90.00
Atoms (fractional coordinates):
Ga1 0.500 0.725 0.725
Ga2 0.500 0.275 0.000
Ga3 0.000 0.474 0.474
Ga4 0.500 0.000 0.275
Ga5 0.000 0.000 0.526
Ga6 0.000 0.526 0.000
Ni1 0.000 0.370 0.168
Ni2 0.000 0.832 0.202
Ni3 0.000 0.168 0.370
Ni4 0.000 0.202 0.832
Ni5 0.000 0.630 0.798
Ni6 0.500 0.000 0.710
Ni7 0.500 0.290 0.290
Ni8 0.000 0.798 0.630
Ni9 0.500 0.710 0.000
La1 0.500 0.333 0.667
La2 0.000 0.000 0.000
La3 0.500 0.667 0.333



(19)
LaGaO3 | PBEsol | relaxed

Values from the calculation:
Its uncorrected formation energy is -2.75 eV/atom. The crystal system is orthorhombic.

Unit cell a=5.494 b=5.505 c=7.766 alpha=90.00 beta=90.00 gamma=90.00
Atoms (fractional coordinates):
La1 0.472 0.507 0.250
La2 0.972 0.993 0.250
La3 0.028 0.007 0.750
La4 0.528 0.493 0.750
O1 0.279 0.279 0.540
O2 0.721 0.721 0.040
O3 0.779 0.221 0.960
O4 0.779 0.221 0.540
O5 0.279 0.279 0.960
O6 0.512 0.074 0.250
O7 0.488 0.926 0.750
O8 0.221 0.779 0.040
O9 0.988 0.574 0.750
O10 0.721 0.721 0.460
O11 0.012 0.426 0.250
O12 0.221 0.779 0.460
Ga1 0.500 0.000 0.500
Ga2 0.000 0.500 0.500
Ga3 0.000 0.500 0.000
Ga4 0.500 0.000 0.000



(20)
LaGaO3 | PBEsol | relaxed

Values from the calculation:
Its uncorrected formation energy is -2.75 eV/atom. The crystal system is trigonal.

Unit cell a=5.453 b=5.453 c=5.453 alpha=60.88 beta=60.88 gamma=60.88
Atoms (fractional coordinates):
La1 0.746 0.746 0.746
La2 0.246 0.246 0.246
Ga1 0.496 0.496 0.496
Ga2 0.996 0.996 0.996
O1 0.180 0.746 0.312
O2 0.246 0.680 0.812
O3 0.312 0.180 0.746
O4 0.680 0.812 0.246
O5 0.746 0.312 0.180
O6 0.812 0.246 0.680